# 1
First-principles (PBE-GGA) data for Ho2ZnSe after structural relaxation, as listed in Alexandria.

- energy relative to the elements, uncorrected (kJ per mole of atoms) = -101.1
- ρ (g/cm3) = 8.352
- polymorph energy (0 for the lowest one) (eV per atom) = 0.000
- space group = No. 63

The structure in CIF format:
```
data_Ho2ZnSe
_chemical_formula_sum 'Ho4 Zn2 Se2'
_cell_length_a 4.175
_cell_length_b 3.994
_cell_length_c 11.483
_cell_angle_alpha 100.02
_cell_angle_beta 90.00
_cell_angle_gamma 90.00
_symmetry_space_group_name_H-M 'P 1'
_symmetry_Int_Tables_number 1
_symmetry_space_group_name_Hall 'P 1'
loop_
_atom_site_label
_atom_site_fract_x
_atom_site_fract_y
_atom_site_fract_z
Ho1 0.750 0.679 0.358
Ho2 0.250 0.321 0.642
Ho3 0.750 0.932 0.863
Ho4 0.250 0.068 0.137
Zn1 0.250 0.461 0.922
Zn2 0.750 0.539 0.078
Se1 0.250 0.194 0.388
Se2 0.750 0.806 0.612
```


# 2
First-principles (PBE-GGA) data for Ho5ZnSe4 after structural relaxation, as listed in Alexandria.

- energy relative to the elements, uncorrected (kJ per mole of atoms) = -142.3
- ρ (g/cm3) = 8.367
- space group = No. 87

The structure in CIF format:
```
data_Ho5ZnSe4
_chemical_formula_sum 'Ho5 Zn1 Se4'
_cell_length_a 5.757
_cell_length_b 7.061
_cell_length_c 7.061
_cell_angle_alpha 80.44
_cell_angle_beta 65.94
_cell_angle_gamma 65.94
_symmetry_space_group_name_H-M 'P 1'
_symmetry_Int_Tables_number 1
_symmetry_space_group_name_Hall 'P 1'
loop_
_atom_site_label
_atom_site_fract_x
_atom_site_fract_y
_atom_site_fract_z
Ho1 0.903 0.392 0.805
Ho2 0.295 0.805 0.608
Ho3 0.707 0.195 0.392
Ho4 0.099 0.608 0.195
Ho5 0.501 0.000 0.000
Zn1 0.001 0.000 0.000
Se1 0.405 0.400 0.793
Se2 0.805 0.793 0.600
Se3 0.198 0.207 0.400
Se4 0.598 0.600 0.207
```


# 3
First-principles (PBE-GGA) data for Ho2ZrSe after structural relaxation, as listed in Alexandria.

- energy relative to the elements, uncorrected (kJ per mole of atoms) = -33.3
- ρ (g/cm3) = 7.534
- space group = No. 166

The structure in CIF format:
```
data_Ho2ZrSe
_chemical_formula_sum 'Ho2 Zr1 Se1'
_cell_length_a 3.592
_cell_length_b 3.592
_cell_length_c 10.079
_cell_angle_alpha 79.74
_cell_angle_beta 79.74
_cell_angle_gamma 60.00
_symmetry_space_group_name_H-M 'P 1'
_symmetry_Int_Tables_number 1
_symmetry_space_group_name_Hall 'P 1'
loop_
_atom_site_label
_atom_site_fract_x
_atom_site_fract_y
_atom_site_fract_z
Se1 0.500 0.500 0.500
Ho1 0.103 0.103 0.690
Ho2 0.897 0.897 0.310
Zr1 0.000 0.000 0.000
```


# 4
First-principles (PBE-GGA) data for HoZrSe4 after structural relaxation, as listed in Alexandria.

- energy relative to the elements, uncorrected (kJ per mole of atoms) = -114.7
- ρ (g/cm3) = 6.071
- space group = No. 14

The structure in CIF format:
```
data_HoZrSe4
_chemical_formula_sum 'Ho2 Zr2 Se8'
_cell_length_a 6.788
_cell_length_b 6.858
_cell_length_c 6.724
_cell_angle_alpha 90.00
_cell_angle_beta 88.36
_cell_angle_gamma 90.00
_symmetry_space_group_name_H-M 'P 1'
_symmetry_Int_Tables_number 1
_symmetry_space_group_name_Hall 'P 1'
loop_
_atom_site_label
_atom_site_fract_x
_atom_site_fract_y
_atom_site_fract_z
Ho1 0.500 0.000 0.500
Ho2 0.000 0.500 0.500
Zr1 0.000 0.000 0.000
Zr2 0.500 0.500 0.000
Se1 0.839 0.652 0.131
Se2 0.661 0.152 0.869
Se3 0.387 0.372 0.362
Se4 0.113 0.872 0.638
Se5 0.161 0.348 0.869
Se6 0.339 0.848 0.131
Se7 0.613 0.628 0.638
Se8 0.887 0.128 0.362
```


# 5
First-principles (PBE-GGA) data for Ho3ZrSe6 after structural relaxation, as listed in Alexandria.

- energy relative to the elements, uncorrected (kJ per mole of atoms) = -158.4
- ρ (g/cm3) = 6.252
- space group = No. 148

The structure in CIF format:
```
data_Ho3ZrSe6
_chemical_formula_sum 'Ho6 Zr2 Se12'
_cell_length_a 8.259
_cell_length_b 8.259
_cell_length_c 8.259
_cell_angle_alpha 91.18
_cell_angle_beta 91.18
_cell_angle_gamma 91.18
_symmetry_space_group_name_H-M 'P 1'
_symmetry_Int_Tables_number 1
_symmetry_space_group_name_Hall 'P 1'
loop_
_atom_site_label
_atom_site_fract_x
_atom_site_fract_y
_atom_site_fract_z
Ho1 0.423 0.914 0.754
Ho2 0.914 0.754 0.423
Ho3 0.246 0.577 0.086
Ho4 0.754 0.423 0.914
Ho5 0.086 0.246 0.577
Ho6 0.577 0.086 0.246
Zr1 0.000 0.000 0.000
Zr2 0.500 0.500 0.500
Se1 0.311 0.920 0.088
Se2 0.080 0.912 0.689
Se3 0.584 0.815 0.456
Se4 0.912 0.689 0.080
Se5 0.456 0.584 0.815
Se6 0.185 0.544 0.416
Se7 0.815 0.456 0.584
Se8 0.544 0.416 0.185
Se9 0.088 0.311 0.920
Se10 0.416 0.185 0.544
Se11 0.920 0.088 0.311
Se12 0.689 0.080 0.912
```


# 6
First-principles (PBE-GGA) data for Ho2ZrSe5 after structural relaxation, as listed in Alexandria.

- energy relative to the elements, uncorrected (kJ per mole of atoms) = -153.0
- ρ (g/cm3) = 5.491
- space group = No. 63

The structure in CIF format:
```
data_Ho2ZrSe5
_chemical_formula_sum 'Ho4 Zr2 Se10'
_cell_length_a 5.496
_cell_length_b 7.288
_cell_length_c 13.301
_cell_angle_alpha 90.00
_cell_angle_beta 90.00
_cell_angle_gamma 112.15
_symmetry_space_group_name_H-M 'P 1'
_symmetry_Int_Tables_number 1
_symmetry_space_group_name_Hall 'P 1'
loop_
_atom_site_label
_atom_site_fract_x
_atom_site_fract_y
_atom_site_fract_z
Ho1 0.851 0.702 0.441
Ho2 0.851 0.702 0.059
Ho3 0.149 0.298 0.559
Ho4 0.149 0.298 0.941
Zr1 0.805 0.610 0.750
Zr2 0.195 0.390 0.250
Se1 0.952 0.904 0.877
Se2 0.952 0.904 0.623
Se3 0.316 0.633 0.420
Se4 0.316 0.633 0.080
Se5 0.740 0.480 0.250
Se6 0.260 0.520 0.750
Se7 0.684 0.367 0.580
Se8 0.684 0.367 0.920
Se9 0.048 0.096 0.123
Se10 0.048 0.096 0.377
```


Q: Which formula does entry 4 have?
A: HoZrSe4


Q: energy relative to the elements, uncorrected of number 3 (Ho2ZrSe)?
A: -33.3 kJ per mole of atoms